# BaFe2Au

A relaxed structure of BaFe2Au (GGA-PBE, the Alexandria database).

Its calculated formation energy is 0.30 eV per atom. Its space group is No. 99. The total magnetic moment is 5.4 μB per cell. As for the density of states at the Fermi level: 0.746 states/eV per atom.

Cell lengths 3.288, 3.288, 7.645 Å; angles 90.00, 90.00, 90.00 degrees
Fractional positions:
Ba: 0.000 0.000 0.000
Fe: 0.000 0.000 0.462
Fe: 0.500 0.500 0.332
Au: 0.500 0.500 0.678